Compound: KNiPO4
Source: Alexandria via LeMat-Bulk
Functional: PBE with a Hubbard U
Structure: relaxed

a b c (Å): 8.7195 9.3739 4.9778
angles (deg): 90.00 90.00 90.00
Fractional coordinates of all 28 atoms:
K: 0.0026 0.1826 0.0000
K: 0.4974 0.6826 0.5000
K: 0.5026 0.3174 0.0000
K: 0.9974 0.8174 0.5000
Ni: 0.1547 0.5423 0.9809
Ni: 0.3453 0.0423 0.4809
Ni: 0.6547 0.9577 0.9809
Ni: 0.8453 0.4577 0.4809
P: 0.2095 0.3742 0.5459
P: 0.2905 0.8742 0.0459
P: 0.7095 0.1258 0.5459
P: 0.7905 0.6258 0.0459
O: 0.0475 0.4161 0.6682
O: 0.1831 0.9815 0.1939
O: 0.2136 0.3880 0.2372
O: 0.2451 0.2184 0.6246
O: 0.2549 0.7184 0.1246
O: 0.2864 0.8880 0.7372
O: 0.3169 0.4815 0.6939
O: 0.4525 0.9161 0.1682
O: 0.5475 0.0839 0.6682
O: 0.6831 0.5185 0.1939
O: 0.7136 0.1120 0.2372
O: 0.7451 0.2816 0.6246
O: 0.7549 0.7816 0.1246
O: 0.7864 0.6120 0.7372
O: 0.8169 0.0185 0.6939
O: 0.9525 0.5839 0.1682

energy above the most stable polymorph in this dataset	0	meV/atom
raw total energy	-6.1145	eV per atom
total moment	7.81	μB/cell